[1]
# MgGaH6Ir2

MgGaH6Ir2 after structural relaxation (PBE-GGA, Alexandria via LeMat-Bulk).

raw total energy = -4.39 eV/atom
DOS(E_F) = 0.195 states/eV/atom

```
MgGaH6Ir2
1.0
3.787 -5.580 0.000
3.787 5.580 0.000
-1.857 0.000 4.565
Mg Ga H Ir
2 2 12 4
Direct
0.100 0.900 0.750 Mg
0.900 0.100 0.250 Mg
0.295 0.705 0.250 Ga
0.705 0.295 0.750 Ga
0.045 0.431 0.589 H
0.224 0.259 0.173 H
0.259 0.224 0.673 H
0.350 0.535 0.926 H
0.431 0.045 0.089 H
0.465 0.650 0.574 H
0.535 0.350 0.426 H
0.569 0.955 0.911 H
0.650 0.465 0.074 H
0.741 0.776 0.327 H
0.776 0.741 0.827 H
0.955 0.569 0.411 H
0.100 0.327 0.851 Ir
0.327 0.100 0.351 Ir
0.673 0.900 0.649 Ir
0.900 0.673 0.149 Ir
```

***

[2]
# MgGaHIr2

MgGaHIr2 after structural relaxation (PBE-GGA, Alexandria via LeMat-Bulk).

raw total energy = -5.39 eV/atom
DOS(E_F) = 0.272 states/eV/atom

```
MgGaHIr2
1.0
4.047 0.000 0.000
0.000 4.047 0.000
0.000 0.000 3.759
Mg Ga H Ir
1 1 1 2
Direct
0.000 0.000 0.000 Mg
0.500 0.500 0.000 Ga
0.000 0.000 0.500 H
0.000 0.500 0.500 Ir
0.500 0.000 0.500 Ir
```

***

[3]
# MnGa2HIr

MnGa2HIr after structural relaxation (PBE-GGA, Alexandria via LeMat-Bulk).

raw total energy = -5.54 eV/atom
DOS(E_F) = 0.507 states/eV/atom

```
MnGa2HIr
1.0
4.120 0.000 0.000
0.000 4.120 0.000
0.000 0.000 3.437
Mn Ga H Ir
1 2 1 1
Direct
0.000 0.000 0.000 Mn
0.000 0.500 0.500 Ga
0.500 0.000 0.500 Ga
0.000 0.000 0.500 H
0.500 0.500 0.000 Ir
```

***

[4]
# MnGaHIr2

MnGaHIr2 after structural relaxation (PBE-GGA, Alexandria via LeMat-Bulk).

raw total energy = -6.81 eV/atom
DOS(E_F) = 0.629 states/eV/atom

```
MnGaHIr2
1.0
4.006 0.000 0.000
0.000 4.006 0.000
0.000 0.000 3.710
Mn Ga H Ir
1 1 1 2
Direct
0.000 0.000 0.000 Mn
0.500 0.500 0.000 Ga
0.000 0.000 0.500 H
0.000 0.500 0.500 Ir
0.500 0.000 0.500 Ir
```

***

[5]
# Nb2GaHIr

Nb2GaHIr after structural relaxation (PBE-GGA, Alexandria via LeMat-Bulk).

energy above the lowest structure with this stoichiometry = 86 meV per atom
DOS(E_F) = 0.641 states/eV/atom

```
Nb2GaHIr
1.0
3.970 0.000 0.000
0.000 3.970 0.000
0.000 0.000 4.316
Nb Ga H Ir
2 1 1 1
Direct
0.000 0.500 0.000 Nb
0.500 0.000 0.000 Nb
0.000 0.000 0.500 Ga
0.000 0.000 0.000 H
0.500 0.500 0.500 Ir
```

***

[6]
# Nb2GaHIr

Nb2GaHIr after structural relaxation (PBE-GGA, Alexandria via LeMat-Bulk).

energy above the lowest structure with this stoichiometry = 0 meV per atom
DOS(E_F) = 0.452 states/eV/atom

```
Nb2GaHIr
1.0
4.136 0.000 0.000
0.000 4.136 0.000
0.000 0.000 3.986
Nb Ga H Ir
2 1 1 1
Direct
0.000 0.500 0.000 Nb
0.500 0.000 0.000 Nb
0.000 0.000 0.500 Ga
0.500 0.500 0.000 H
0.500 0.500 0.500 Ir
```

***

Question: Which of these has the lowest DOS(E_F)?
Answer: MgGaH6Ir2

***

Please write out number 1 again, unchanged.
# MgGaH6Ir2

MgGaH6Ir2 after structural relaxation (PBE-GGA, Alexandria via LeMat-Bulk).

raw total energy = -4.39 eV/atom
DOS(E_F) = 0.195 states/eV/atom

```
MgGaH6Ir2
1.0
3.787 -5.580 0.000
3.787 5.580 0.000
-1.857 0.000 4.565
Mg Ga H Ir
2 2 12 4
Direct
0.100 0.900 0.750 Mg
0.900 0.100 0.250 Mg
0.295 0.705 0.250 Ga
0.705 0.295 0.750 Ga
0.045 0.431 0.589 H
0.224 0.259 0.173 H
0.259 0.224 0.673 H
0.350 0.535 0.926 H
0.431 0.045 0.089 H
0.465 0.650 0.574 H
0.535 0.350 0.426 H
0.569 0.955 0.911 H
0.650 0.465 0.074 H
0.741 0.776 0.327 H
0.776 0.741 0.827 H
0.955 0.569 0.411 H
0.100 0.327 0.851 Ir
0.327 0.100 0.351 Ir
0.673 0.900 0.649 Ir
0.900 0.673 0.149 Ir
```